The following is a PBE calculation of a relaxed structure of Na3Sn6Hg, from Alexandria via LeMat-Bulk.

Cell: 3.4082 6.4172 26.1276 Å, 90.00 91.82 90.00°
Positions (direct):
Sn: 0.0154 0.0000 0.3139
Sn: 0.5154 0.5000 0.8139
Na: 0.5106 0.0002 0.7962
Hg: 0.0000 0.0000 0.0000
Sn: 0.9672 0.7474 0.1052
Na: 0.4894 0.9998 0.2038
Hg: 0.5000 0.5000 0.5000
Sn: 0.4672 0.7527 0.6052
Sn: 0.5328 0.2473 0.3948
Sn: 0.4673 0.2472 0.6052
Na: 0.0000 0.0000 0.5000
Na: 0.5000 0.5000 0.0000
Sn: 0.0328 0.2526 0.8948
Sn: 0.4846 0.5000 0.1861
Sn: 0.9846 0.0000 0.6861
Sn: 0.9673 0.2528 0.1052
Sn: 0.0327 0.7472 0.8948
Na: 0.9896 0.5002 0.7038
Sn: 0.5327 0.7528 0.3948
Na: 0.0104 0.4998 0.2962

Computed properties:
- ρ (g cm⁻³) = 5.71
- calculated volume (Å³/f.u.) = 285.6
- M_tot (μB/f.u.) = 0.00
- energy of formation from the pure elements (eV/atom) = -0.109